(1)
LiPuSnRh | PBE | relaxed

The space group is F-43m (No. 216) and the conventional cell measures 6.7310, 6.7310 and 6.7310 Å, with angles of 90.00, 90.00 and 90.00 degrees. The distinct sites, in fractional coordinates, are Li at (0.0000, 0.0000, 0.0000), Pu at (0.2500, 0.2500, 0.7500), Sn at (0.2500, 0.2500, 0.2500) and Rh at (0.0000, 0.0000, 0.5000).

The calculation puts the density of states at the Fermi level at 1.9997 states/eV per atom. The value obtained for the formation energy is -0.44 eV per atom.



(2)
LiTm2PuHg4 | PBE | relaxed

The space group is R-3m (No. 166, hexagonal axes) and the conventional cell measures 5.1285, 5.1285 and 25.4785 Å, with angles of 90.00, 90.00 and 120.00 degrees. The distinct sites, in fractional coordinates, are Li at (0.0000, 0.0000, 0.0000), Tm at (0.0000, 0.0000, 0.2521), Pu at (0.0000, 0.0000, 0.5000), Hg at (0.0000, 0.0000, 0.1182) and Hg at (0.0000, 0.0000, 0.3722).

The calculation puts the density of states at the Fermi level at 1.3179 states/eV per atom. The value obtained for the formation energy is -0.33 eV per atom.



(3)
Tl2CdAg2I6 | PBE | relaxed

The space group is C2/m (No. 12) and the conventional cell measures 15.2940, 8.4101 and 8.1242 Å, with angles of 90.00, 121.85 and 90.00 degrees. The distinct sites, in fractional coordinates, are Tl at (0.2481, 0.0000, 0.1961), Cd at (0.0000, 0.0000, 0.5000), Ag at (0.0614, 0.5000, 0.2195), I at (0.0651, 0.2439, 0.8118) and I at (0.2281, 0.0000, 0.6002).

Its energy relative to the elements, uncorrected is -446 kJ/mol of formula units.



(4)
Ca2La2PrY6 | PBE | relaxed

The space group is C2/m (No. 12) and the conventional cell measures 6.2541, 10.9070 and 12.2379 Å, with angles of 90.00, 100.71 and 90.00 degrees. The distinct sites, in fractional coordinates, are Ca at (0.0000, 0.1648, 0.0000), La at (0.0000, 0.3332, 0.5000), Pr at (0.0000, 0.0000, 0.5000), Y at (0.2470, 0.0000, 0.2589) and Y at (0.2467, 0.3341, 0.2560).

The calculation puts the density of states at the Fermi level at 1.6292 states/eV per atom. The value obtained for the formation energy is 0.18 eV per atom.